Entry 1:
This record from Alexandria via LeMat-Bulk describes a relaxed structure of Tc3AsIr. The functional is GGA-PBE.

Lattice parameters (Å, degrees): 4.455 4.455 4.455 90.00 90.00 90.00
Fractional positions:
Tc 0.500 0.000 0.000
Tc 0.000 0.500 0.000
Tc 0.000 0.000 0.500
Ir 0.500 0.500 0.500
As 0.000 0.000 0.000

Calculated values
offset from the most stable computed form	0	meV per atom

---

Entry 2:
This record from Alexandria via LeMat-Bulk describes a relaxed structure of TcAsIr. The functional is GGA-PBE.

Lattice parameters (Å, degrees): 6.256 6.887 2.880 102.07 90.00 24.72
Fractional positions:
Tc 0.659 0.667 0.333
As 0.010 0.000 0.000
Ir 0.331 0.333 0.667

Calculated values
offset from the most stable computed form	202	meV per atom

---

Entry 3:
This record from Alexandria via LeMat-Bulk describes a relaxed structure of Tc2AsIr. The functional is GGA-PBE.

Lattice parameters (Å, degrees): 4.847 4.847 4.558 86.58 86.58 34.05
Fractional positions:
Tc 0.733 0.733 0.749
Tc 0.006 0.006 0.999
As 0.491 0.491 0.521
Ir 0.271 0.271 0.230

---

| no. | E_form (eV per atom) |
| --- | --- |
| 1 | 1.337 |
| 2 | 0.091 |
| 3 | 0.059 |